{
  "formula": "VHO",
  "functional": "PBE with a Hubbard U",
  "state": "relaxed",
  "lattice": [[0.000, 2.362, 2.362], [2.362, 0.000, 2.362], [2.362, 2.362, 0.000]],
  "species": ["V", "H", "O"],
  "fractional_positions": [[0.000, 0.000, 0.000], [0.250, 0.250, 0.250], [0.750, 0.750, 0.750]],
  "final_energy_ry_per_atom": -0.465,
  "space_group": "F-43m (216)"
}


{
  "formula": "VH3O",
  "functional": "PBE with a Hubbard U",
  "state": "relaxed",
  "lattice": [[3.393, 0.000, 0.000], [0.000, 3.393, 0.000], [0.000, 0.000, 3.393]],
  "species": ["V", "H", "H", "H", "O"],
  "fractional_positions": [[0.000, 0.000, 0.000], [0.000, 0.000, 0.500], [0.000, 0.500, 0.000], [0.500, 0.000, 0.000], [0.500, 0.500, 0.500]],
  "final_energy_ry_per_atom": -0.270,
  "space_group": "Pm-3m (221)"
}


{
  "formula": "VH2O2",
  "functional": "PBE with a Hubbard U",
  "state": "relaxed",
  "lattice": [[4.916, 0.000, 0.000], [0.000, 5.395, 0.000], [0.000, 0.000, 3.302]],
  "species": ["V", "V", "H", "H", "H", "H", "O", "O", "O", "O"],
  "fractional_positions": [[0.000, 0.000, 0.000], [0.500, 0.500, 0.500], [0.011, 0.335, 0.500], [0.489, 0.835, 0.000], [0.511, 0.165, 0.000], [0.989, 0.665, 0.500], [0.155, 0.766, 0.500], [0.345, 0.266, 0.000], [0.655, 0.734, 0.000], [0.845, 0.234, 0.500]],
  "final_energy_ry_per_atom": -0.447,
  "space_group": "Pnnm (58)"
}


{
  "formula": "VHO3",
  "functional": "PBE with a Hubbard U",
  "state": "relaxed",
  "lattice": [[2.926, 0.000, 0.000], [-0.030, 5.983, 0.000], [-0.182, -1.290, 6.560]],
  "species": ["V", "V", "H", "H", "O", "O", "O", "O", "O", "O"],
  "fractional_positions": [[0.236, 0.297, 0.306], [0.764, 0.703, 0.694], [0.244, 0.787, 0.382], [0.756, 0.213, 0.618], [0.232, 0.019, 0.281], [0.249, 0.662, 0.464], [0.272, 0.644, 0.837], [0.728, 0.356, 0.163], [0.751, 0.338, 0.536], [0.768, 0.981, 0.719]],
  "final_energy_ry_per_atom": -0.490,
  "space_group": "P-1 (2)"
}


{
  "formula": "VHO3",
  "functional": "PBE with a Hubbard U",
  "state": "relaxed",
  "lattice": [[5.141, 0.000, 0.000], [0.000, 9.047, 0.000], [-2.028, 0.000, 8.097]],
  "species": ["V", "V", "V", "V", "V", "V", "H", "H", "H", "H", "H", "H", "O", "O", "O", "O", "O", "O", "O", "O", "O", "O", "O", "O", "O", "O", "O", "O", "O", "O"],
  "fractional_positions": [[0.120, 0.250, 0.049], [0.332, 0.561, 0.829], [0.332, 0.939, 0.829], [0.668, 0.061, 0.171], [0.668, 0.439, 0.171], [0.880, 0.750, 0.951], [0.440, 0.750, 0.584], [0.493, 0.159, 0.584], [0.493, 0.341, 0.584], [0.507, 0.659, 0.416], [0.507, 0.841, 0.416], [0.560, 0.250, 0.416], [0.005, 0.109, 0.190], [0.005, 0.391, 0.190], [0.132, 0.750, 0.110], [0.340, 0.095, 0.995], [0.340, 0.405, 0.995], [0.357, 0.038, 0.668], [0.357, 0.462, 0.668], [0.425, 0.750, 0.457], [0.433, 0.750, 0.760], [0.567, 0.250, 0.240], [0.575, 0.250, 0.543], [0.643, 0.538, 0.332], [0.643, 0.962, 0.332], [0.660, 0.595, 0.005], [0.660, 0.905, 0.005], [0.868, 0.250, 0.890], [0.995, 0.609, 0.810], [0.995, 0.891, 0.810]],
  "final_energy_ry_per_atom": -0.492,
  "space_group": "P2_1/m (11)"
}


{
  "formula": "VH5O4",
  "functional": "PBE with a Hubbard U",
  "state": "relaxed",
  "lattice": [[5.228, 0.000, 0.000], [0.000, 7.997, 0.000], [0.000, 0.000, 4.530]],
  "species": ["V", "V", "H", "H", "H", "H", "H", "H", "H", "H", "H", "H", "O", "O", "O", "O", "O", "O", "O", "O"],
  "fractional_positions": [[0.250, 0.250, 0.220], [0.750, 0.750, 0.780], [0.104, 0.113, 0.696], [0.104, 0.387, 0.696], [0.250, 0.750, 0.033], [0.396, 0.113, 0.696], [0.396, 0.387, 0.696], [0.604, 0.613, 0.304], [0.604, 0.887, 0.304], [0.750, 0.250, 0.967], [0.896, 0.613, 0.304], [0.896, 0.887, 0.304], [0.019, 0.750, 0.047], [0.250, 0.076, 0.561], [0.250, 0.424, 0.561], [0.481, 0.750, 0.047], [0.519, 0.250, 0.953], [0.750, 0.576, 0.439], [0.750, 0.924, 0.439], [0.981, 0.250, 0.953]],
  "final_energy_ry_per_atom": -0.402,
  "space_group": "Pmmn (59)"
}


{
  "formula": "V3H4O8",
  "functional": "PBE with a Hubbard U",
  "state": "relaxed",
  "lattice": [[8.737, -1.953, 0.000], [8.737, 1.953, 0.000], [-0.902, 0.000, 5.900]],
  "species": ["V", "V", "V", "H", "H", "H", "H", "O", "O", "O", "O", "O", "O", "O", "O"],
  "fractional_positions": [[0.000, 0.000, 0.000], [0.610, 0.610, 0.262], [0.807, 0.807, 0.152], [0.060, 0.060, 0.641], [0.575, 0.575, 0.660], [0.709, 0.709, 0.741], [0.796, 0.796, 0.675], [0.011, 0.011, 0.706], [0.084, 0.084, 0.242], [0.517, 0.517, 0.049], [0.621, 0.621, 0.585], [0.695, 0.695, 0.147], [0.765, 0.765, 0.806], [0.828, 0.828, 0.433], [0.901, 0.901, 0.060]],
  "final_energy_ry_per_atom": -0.474,
  "space_group": "Cm (8)"
}


{
  "formula": "VHO2",
  "functional": "PBE with a Hubbard U",
  "state": "relaxed",
  "lattice": [[-2.062, 2.062, 4.455], [2.062, -2.062, 4.455], [2.062, 2.062, -4.455]],
  "species": ["V", "V", "H", "H", "O", "O", "O", "O"],
  "fractional_positions": [[0.000, 0.000, 0.000], [0.750, 0.250, 0.500], [0.250, 0.750, 0.500], [0.500, 0.500, 0.000], [0.163, 0.625, 0.038], [0.375, 0.413, 0.538], [0.587, 0.125, 0.962], [0.875, 0.837, 0.462]],
  "final_energy_ry_per_atom": -0.447,
  "space_group": "I-42d (122)"
}